1.
GGA-PBE CeNd5Tm12, relaxed; DFT formation energy = 0.035 eV per atom; space-group type = No. 12
1.0
10.612 0.000 -0.038
5.303 9.148 -1.029
0.022 -1.376 5.981
Ce Nd Tm
1 5 12
direct
0.000 0.000 0.000
0.500 0.000 0.500
0.165 0.669 0.506
0.835 0.331 0.494
0.667 0.666 0.000
0.333 0.334 0.000
0.834 0.000 0.500
0.166 0.000 0.500
0.671 0.000 0.000
0.329 0.000 0.000
0.334 0.668 0.000
0.998 0.668 0.000
0.002 0.332 0.000
0.666 0.332 0.000
0.502 0.333 0.500
0.835 0.667 0.500
0.165 0.333 0.500
0.498 0.667 0.500

***

2.
GGA-PBE Te2BrN, relaxed; raw formation energy = 575 meV/atom; space-group type = No. 166; polymorph energy (0 for the lowest one) = 0.0 meV/atom
1.0
2.844 -6.527 5.935
5.064 -3.793 6.774
1.743 -3.935 8.210
Te Br N
2 1 1
direct
0.071 0.071 0.071
0.929 0.929 0.929
0.500 0.500 0.500
0.000 0.000 0.000

***

3.
GGA-PBE Sr2HgBrO3, relaxed; raw formation energy = -1510 meV/atom; space-group type = No. 166
1.0
-7.650 -0.278 1.898
-2.943 -2.823 6.751
-3.481 4.292 5.627
Sr Hg Br O
4 2 2 6
direct
0.000 0.000 0.000
0.500 0.000 0.000
0.000 0.500 0.000
0.000 0.000 0.500
0.422 0.422 0.422
0.578 0.578 0.578
0.724 0.724 0.724
0.276 0.276 0.276
0.214 0.750 0.750
0.750 0.214 0.750
0.750 0.750 0.214
0.786 0.250 0.250
0.250 0.786 0.250
0.250 0.250 0.786

***

4.
GGA-PBE Na2RhPb2, relaxed; DFT formation energy = -0.004 eV per atom; space-group type = No. 127; polymorph energy (0 for the lowest one) = 46.5 meV/atom
1.0
7.137 0.000 0.000
0.000 7.137 0.000
0.000 0.000 5.286
Pb Na Rh
4 4 2
direct
0.344 0.844 0.000
0.844 0.656 0.000
0.656 0.156 0.000
0.156 0.344 0.000
0.172 0.672 0.500
0.672 0.828 0.500
0.828 0.328 0.500
0.328 0.172 0.500
0.000 0.000 0.000
0.500 0.500 0.000

***

5.
GGA-PBE Tc2NiBr, relaxed; raw formation energy = 689 meV/atom; space-group type = No. 35; polymorph energy (0 for the lowest one) = 305.7 meV/atom
1.0
-2.175 -1.714 0.518
1.707 0.561 2.170
-5.007 6.997 2.129
Br Ni Tc
1 1 2
direct
0.000 0.000 0.516
0.500 0.500 0.764
0.000 0.000 0.994
0.500 0.500 0.227

***

6.
GGA-PBE ZrTiPt, relaxed; DFT formation energy = -0.782 eV per atom; space-group type = No. 74; polymorph energy (0 for the lowest one) = 0.0 meV/atom
1.0
-1.161 -3.071 4.197
4.194 -1.304 -3.017
1.905 4.920 0.746
Zr Ti Pt
2 2 2
direct
0.250 0.125 0.375
0.750 0.875 0.625
0.000 0.500 0.500
0.500 0.500 0.000
0.500 0.000 0.000
0.000 0.500 0.000

***

7.
GGA-PBE Rb2BiI, relaxed; raw formation energy = -510 meV/atom; space-group type = No. 225; polymorph energy (0 for the lowest one) = 218.7 meV/atom
1.0
0.000 4.565 4.565
4.565 0.000 4.565
4.565 4.565 0.000
I Bi Rb
1 1 2
direct
0.000 0.000 0.000
0.500 0.500 0.500
0.250 0.250 0.250
0.750 0.750 0.750

***

8.
GGA-PBE CaSm4Ge4, relaxed; DFT formation energy = -0.579 eV per atom; space-group type = No. 86
1.0
-0.556 -3.394 4.903
8.644 2.316 2.583
-3.360 7.316 4.684
Ca Sm Ge
2 8 8
direct
0.000 0.000 0.000
0.500 0.500 0.500
0.375 0.331 0.903
0.875 0.597 0.831
0.375 0.669 0.097
0.125 0.169 0.597
0.625 0.903 0.669
0.125 0.831 0.403
0.875 0.403 0.169
0.625 0.097 0.331
0.627 0.777 0.364
0.627 0.223 0.636
0.127 0.864 0.723
0.873 0.277 0.864
0.873 0.723 0.136
0.373 0.364 0.223
0.373 0.636 0.777
0.127 0.136 0.277

***

9.
GGA-PBE Ce6Si2Bi, relaxed; raw formation energy = -438 meV/atom; space-group type = No. 71
1.0
8.079 0.175 -2.861
-4.571 6.980 -1.967
-0.224 -0.175 8.567
Ce Si Bi
12 4 2
direct
0.488 0.282 0.206
0.512 0.718 0.794
0.924 0.718 0.206
0.076 0.282 0.794
0.223 0.752 0.975
0.777 0.248 0.025
0.777 0.752 0.529
0.223 0.248 0.471
0.285 0.974 0.689
0.715 0.026 0.311
0.715 0.404 0.689
0.285 0.596 0.311
0.500 0.388 0.888
0.500 0.612 0.112
0.377 0.000 0.377
0.623 0.000 0.623
0.000 0.500 0.500
0.000 0.000 0.000

***

10.
GGA-PBE NbReSe2Br, relaxed; raw formation energy = 938 meV/atom; space-group type = No. 123; polymorph energy (0 for the lowest one) = 0.0 meV/atom
1.0
-1.268 -4.229 -2.510
1.888 -2.813 3.784
-4.635 0.012 2.322
Re Nb Se Br
1 1 2 1
direct
0.500 0.500 0.500
0.000 0.000 0.000
0.000 0.500 0.000
0.500 0.000 0.000
0.000 0.000 0.500

***

11.
GGA-PBE Al2InTc, relaxed; DFT formation energy = 0.283 eV per atom; space-group type = No. 216
1.0
-4.394 0.191 1.180
-1.515 -2.433 3.539
-1.235 2.102 3.846
Al Tc In
2 1 1
direct
0.000 0.000 0.000
0.250 0.250 0.250
0.750 0.750 0.750
0.500 0.500 0.500

***

12.
GGA-PBE Pm3Al4Ga4, relaxed; DFT formation energy = -0.544 eV per atom; space-group type = No. 12; polymorph energy (0 for the lowest one) = 0.0 meV/atom
1.0
-3.952 -0.722 -1.126
1.358 -1.464 -3.832
-0.494 -13.073 2.386
Pm Al Ga
3 4 4
direct
0.145 0.645 0.710
0.855 0.355 0.290
0.000 0.000 0.000
0.595 0.094 0.812
0.251 0.252 0.497
0.749 0.748 0.503
0.405 0.906 0.188
0.547 0.547 0.905
0.453 0.453 0.095
0.310 0.811 0.380
0.690 0.189 0.620

***

13.
GGA-PBE TcPtBr, relaxed; raw formation energy = 451 meV/atom; space-group type = No. 107; polymorph energy (0 for the lowest one) = 11.3 meV/atom
1.0
-4.430 -5.115 0.045
-1.913 -5.570 -3.333
4.517 4.187 2.802
Br Tc Pt
1 1 1
direct
0.035 0.035 0.000
0.671 0.671 0.000
0.294 0.294 0.000

***

14.
GGA-PBE Ac4Tb3Sm4, relaxed; DFT formation energy = 0.056 eV per atom; space-group type = No. 8
1.0
-1.069 -0.925 -3.433
4.204 -4.014 -0.227
-14.003 -10.868 7.304
Ac Tb Sm
4 3 4
direct
0.726 0.089 0.179
0.228 0.279 0.557
0.728 0.720 0.442
0.229 0.907 0.814
0.227 0.634 0.268
0.729 0.366 0.732
0.226 0.001 0.001
0.226 0.543 0.087
0.726 0.462 0.923
0.729 0.820 0.640
0.227 0.179 0.358

***

15.
GGA-PBE AcGa2Au8, relaxed; DFT formation energy = -0.153 eV per atom; space-group type = No. 123
1.0
-1.085 0.842 -5.433
4.938 -2.284 -1.340
-3.754 -7.845 -0.466
Ac Ga Au
1 2 8
direct
0.500 0.500 0.500
0.500 0.000 0.000
0.000 0.500 0.000
0.754 0.754 0.212
0.754 0.246 0.788
0.754 0.754 0.788
0.754 0.246 0.212
0.246 0.754 0.212
0.246 0.754 0.788
0.246 0.246 0.212
0.246 0.246 0.788

***

16.
GGA-PBE PuHI, relaxed; electronic total energy = -20.44 eV/cell; space-group type = No. 107
1.0
-2.180 -2.034 -1.888
2.375 -0.126 -2.607
2.093 -3.317 4.455
I H Pu
1 1 1
direct
0.012 0.012 0.023
0.276 0.276 0.552
0.712 0.712 0.424

***

17.
GGA-PBE MnFe8Co2, relaxed; DFT formation energy = 0.096 eV per atom; space-group type = No. 5
1.0
2.441 0.000 0.441
-0.423 5.760 2.345
-0.414 1.015 9.273
Mn Fe Co
1 8 2
direct
0.999 0.000 0.970
0.906 0.543 0.160
0.179 0.908 0.607
0.364 0.821 0.240
0.458 0.277 0.054
0.635 0.180 0.699
0.816 0.092 0.332
0.096 0.457 0.779
0.542 0.724 0.886
0.270 0.365 0.430
0.730 0.635 0.510